Entry one
This record from the Alexandria database describes a geometry-optimized Na2SnPb2 structure. The functional is PBE-GGA.

```
Na2SnPb2
1.0
-3.308 2.435 1.763
-2.779 -1.479 -3.173
-5.017 -5.461 3.793
Pb Na Sn
2 2 1
Direct
0.404 0.404 0.192
0.596 0.596 0.808
0.750 0.250 0.500
0.250 0.750 0.500
0.000 0.000 0.000
```

Entry two
This record from the Alexandria database describes a geometry-optimized Na2SnPb2 structure. The functional is PBE-GGA.

```
Na2SnPb2
1.0
-5.198 -6.942 -1.420
2.628 -3.524 7.610
-2.768 1.715 1.750
Pb Na Sn
4 4 2
Direct
0.172 0.672 0.500
0.672 0.828 0.500
0.828 0.328 0.500
0.328 0.172 0.500
0.371 0.871 0.000
0.871 0.629 0.000
0.629 0.129 0.000
0.129 0.371 0.000
0.000 0.000 0.000
0.500 0.500 0.000
```

Ordering by calculated energy gives the sequence entry two, entry one, with the first entry being the most stable.

Entry one
This record from the Alexandria database describes a geometry-optimized NaSn2Pb6 structure. The functional is PBE-GGA.

```
NaSn2Pb6
1.0
5.575 0.000 1.788
2.649 6.137 1.326
0.488 -1.189 8.064
Na Sn Pb
1 2 6
Direct
0.000 0.500 0.500
0.327 0.606 0.739
0.673 0.394 0.261
0.675 0.721 0.928
0.325 0.279 0.072
0.001 0.838 0.160
0.347 0.908 0.398
0.999 0.162 0.840
0.653 0.092 0.602
```

Entry two
This record from the Alexandria database describes a geometry-optimized NaSn2Pb6 structure. The functional is PBE-GGA.

```
NaSn2Pb6
1.0
-0.796 -1.703 5.506
-7.202 -8.683 -1.128
1.812 -11.176 -0.596
Na Sn Pb
2 4 12
Direct
0.250 0.250 0.750
0.750 0.750 0.250
0.500 0.669 0.831
0.000 0.169 0.331
0.500 0.331 0.169
0.000 0.831 0.669
0.168 0.667 0.506
0.332 0.494 0.333
0.832 0.333 0.494
0.668 0.506 0.667
0.593 0.919 0.419
0.907 0.581 0.081
0.407 0.081 0.581
0.093 0.419 0.919
0.332 0.833 0.994
0.168 0.006 0.167
0.668 0.167 0.006
0.832 0.994 0.833
```

Ordering by calculated energy gives the sequence entry one, entry two, with the first entry being the most stable.